[1]
CaCr2Ga2 | PBE | optimized geometry

The structure in CIF format:
```
data_CaCr2Ga2
_symmetry_space_group_name_H-M 'I 4/m m m'
_symmetry_Int_Tables_number 139
_symmetry_space_group_name_Hall '-I 4 2'
_cell_length_a 3.663
_cell_length_b 3.663
_cell_length_c 12.500
_cell_angle_alpha 90.00
_cell_angle_beta 90.00
_cell_angle_gamma 90.00
loop_
_atom_site_label
_atom_site_fract_x
_atom_site_fract_y
_atom_site_fract_z
_atom_site_occupancy
Ca1 0.000 0.000 0.000 1
Cr1 0.000 0.500 0.250 1
Ga1 0.000 0.000 0.390 1
```

* DOS at the Fermi energy: 5.34 states/eV/cell
* formation energy from the elements: 0.06 eV per atom

[2]
CaCr2Ga2 | PBE | optimized geometry

The structure in CIF format:
```
data_CaCr2Ga2
_symmetry_space_group_name_H-M 'P 4/m b m'
_symmetry_Int_Tables_number 127
_symmetry_space_group_name_Hall '-P 4 2ab'
_cell_length_a 7.776
_cell_length_b 7.776
_cell_length_c 2.638
_cell_angle_alpha 90.00
_cell_angle_beta 90.00
_cell_angle_gamma 90.00
loop_
_atom_site_label
_atom_site_fract_x
_atom_site_fract_y
_atom_site_fract_z
_atom_site_occupancy
Ca1 0.000 0.000 0.000 1
Cr1 0.104 0.396 0.500 1
Ga1 0.182 0.682 0.000 1
```

* DOS at the Fermi energy: 2.00 states/eV/cell
* formation energy from the elements: 0.14 eV per atom

[3]
CaCrGa2 | PBE | optimized geometry

The structure in CIF format:
```
data_CaCrGa2
_symmetry_space_group_name_H-M 'I -4 2 d'
_symmetry_Int_Tables_number 122
_symmetry_space_group_name_Hall 'I -4 2bw'
_cell_length_a 4.748
_cell_length_b 4.748
_cell_length_c 17.888
_cell_angle_alpha 90.00
_cell_angle_beta 90.00
_cell_angle_gamma 90.00
loop_
_atom_site_label
_atom_site_fract_x
_atom_site_fract_y
_atom_site_fract_z
_atom_site_occupancy
Ca1 0.000 0.000 0.000 1
Cr1 0.000 0.000 0.500 1
Ga1 0.095 0.250 0.625 1
```

* DOS at the Fermi energy: 13.70 states/eV/cell
* formation energy from the elements: 0.22 eV per atom

> Which formula does entry 3 have?

CaCrGa2